Record 1
! HgTeOs GGA-PBE optimized geometry; values from VASP
! Energy relative to the lowest polymorph listed for this composition ... 0.290 eV per atom
! ρ ... 12.9 Mg/m³
! Uncorrected formation energy ... 0.81 eV/atom
! Space group ... Fmm2 (42)
! V ... 22.3 Å³/atom
&SYSTEM
  ibrav = 0, nat = 3, ntyp = 3
/
ATOMIC_SPECIES
Hg 200.59 Hg.upf
Te 127.60 Te.upf
Os 190.23 Os.upf
ATOMIC_POSITIONS angstrom
Hg 0.000 0.000 0.000
Te 1.553 2.710 11.386
Os 1.553 2.710 5.540
CELL_PARAMETERS angstrom
0.000 2.710 7.939
1.553 0.000 7.939
1.553 2.710 0.000

Record 2
! Hg2TeOs GGA-PBE optimized geometry; values from VASP
! ρ ... 14.2 Mg/m³
! Uncorrected formation energy ... 0.92 eV/atom
! Space group ... Cmmm (65)
! V ... 21.0 Å³/atom
&SYSTEM
  ibrav = 0, nat = 4, ntyp = 3
/
ATOMIC_SPECIES
Hg 200.59 Hg.upf
Te 127.60 Te.upf
Os 190.23 Os.upf
ATOMIC_POSITIONS angstrom
Hg 1.480 2.300 0.000
Hg 1.480 -2.300 0.000
Te 0.000 0.000 1.544
Os 2.960 0.000 1.544
CELL_PARAMETERS angstrom
2.960 -4.599 0.000
2.960 4.599 0.000
0.000 0.000 3.088

Record 3
! Hg3TeOs GGA-PBE optimized geometry; values from VASP
! ρ ... 10.2 Mg/m³
! Uncorrected formation energy ... 0.89 eV/atom
! Space group ... Pm-3m (221)
! V ... 29.8 Å³/atom
&SYSTEM
  ibrav = 0, nat = 5, ntyp = 3
/
ATOMIC_SPECIES
Hg 200.59 Hg.upf
Te 127.60 Te.upf
Os 190.23 Os.upf
ATOMIC_POSITIONS angstrom
Hg 0.000 0.000 2.651
Hg 0.000 2.651 0.000
Hg 2.651 0.000 0.000
Te 2.651 2.651 2.651
Os 0.000 0.000 0.000
CELL_PARAMETERS angstrom
5.303 0.000 0.000
0.000 5.303 0.000
0.000 0.000 5.303

Record 4
! HgTeOs2 GGA-PBE optimized geometry; values from VASP
! Energy relative to the lowest polymorph listed for this composition ... 0.144 eV per atom
! ρ ... 14.3 Mg/m³
! Uncorrected formation energy ... 0.66 eV/atom
! Space group ... Pmm2 (25)
! V ... 20.6 Å³/atom
&SYSTEM
  ibrav = 0, nat = 4, ntyp = 3
/
ATOMIC_SPECIES
Hg 200.59 Hg.upf
Te 127.60 Te.upf
Os 190.23 Os.upf
ATOMIC_POSITIONS angstrom
Hg 0.000 0.000 0.000
Te 1.447 1.840 4.796
Os 0.000 0.000 3.103
Os 1.447 1.840 1.898
CELL_PARAMETERS angstrom
2.894 0.000 0.000
0.000 3.679 0.000
0.000 0.000 7.725

Record 5
! HgTe2Os GGA-PBE optimized geometry; values from VASP
! ρ ... 11.0 Mg/m³
! Uncorrected formation energy ... 0.38 eV/atom
! Space group ... Immm (71)
! V ... 24.4 Å³/atom
&SYSTEM
  ibrav = 0, nat = 4, ntyp = 3
/
ATOMIC_SPECIES
Hg 200.59 Hg.upf
Te 127.60 Te.upf
Os 190.23 Os.upf
ATOMIC_POSITIONS angstrom
Hg 0.000 0.000 0.000
Te 1.601 0.000 4.092
Te 0.000 2.424 2.199
Os 0.000 0.000 6.292
CELL_PARAMETERS angstrom
-1.601 2.424 6.292
1.601 -2.424 6.292
1.601 2.424 -6.292

Record 6
! Hg2TeOs GGA-PBE optimized geometry; values from VASP
! ρ ... 12.3 Mg/m³
! Uncorrected formation energy ... 0.47 eV/atom
! Space group ... Imm2 (44)
! V ... 24.2 Å³/atom
&SYSTEM
  ibrav = 0, nat = 4, ntyp = 3
/
ATOMIC_SPECIES
Hg 200.59 Hg.upf
Te 127.60 Te.upf
Os 190.23 Os.upf
ATOMIC_POSITIONS angstrom
Hg 0.000 0.000 0.000
Hg 0.000 2.348 2.167
Te 1.555 0.000 4.210
Os 0.000 0.000 6.333
CELL_PARAMETERS angstrom
-1.555 2.348 6.624
1.555 -2.348 6.624
1.555 2.348 -6.624

Record 7
! Hg2TeOs GGA-PBE optimized geometry; values from VASP
! ρ ... 10.8 Mg/m³
! Uncorrected formation energy ... 0.43 eV/atom
! Space group ... Pm (6)
! V ... 27.5 Å³/atom
&SYSTEM
  ibrav = 0, nat = 4, ntyp = 3
/
ATOMIC_SPECIES
Hg 200.59 Hg.upf
Te 127.60 Te.upf
Os 190.23 Os.upf
ATOMIC_POSITIONS angstrom
Hg 0.000 0.000 0.000
Hg -0.008 1.722 4.243
Te 2.654 1.722 2.285
Os 2.654 0.000 0.434
CELL_PARAMETERS angstrom
5.307 0.000 0.000
0.000 3.444 0.000
-2.651 0.000 6.021

Record 8
! HgTe2Os GGA-PBE optimized geometry; values from VASP
! ρ ... 10.8 Mg/m³
! Uncorrected formation energy ... 0.39 eV/atom
! Space group ... P4mm (99)
! V ... 24.7 Å³/atom
&SYSTEM
  ibrav = 0, nat = 4, ntyp = 3
/
ATOMIC_SPECIES
Hg 200.59 Hg.upf
Te 127.60 Te.upf
Os 190.23 Os.upf
ATOMIC_POSITIONS angstrom
Hg 0.000 0.000 0.000
Te 0.000 0.000 3.537
Te 1.575 1.575 6.931
Os 1.575 1.575 2.040
CELL_PARAMETERS angstrom
3.150 0.000 0.000
0.000 3.150 0.000
0.000 0.000 9.964

Record 9
! HgTeOs GGA-PBE optimized geometry; values from VASP
! Energy relative to the lowest polymorph listed for this composition ... 0.406 eV per atom
! ρ ... 13.6 Mg/m³
! Uncorrected formation energy ... 0.92 eV/atom
! Space group ... P-6m2 (187)
! V ... 21.0 Å³/atom
&SYSTEM
  ibrav = 0, nat = 3, ntyp = 3
/
ATOMIC_SPECIES
Hg 200.59 Hg.upf
Te 127.60 Te.upf
Os 190.23 Os.upf
ATOMIC_POSITIONS angstrom
Hg 0.000 0.000 0.000
Te 2.294 1.324 1.731
Os 0.000 2.649 1.731
CELL_PARAMETERS angstrom
4.588 0.000 0.000
-2.294 3.973 0.000
0.000 0.000 3.461

Record 10
! Hg2TeOs GGA-PBE optimized geometry; values from VASP
! ρ ... 9.0 Mg/m³
! Uncorrected formation energy ... 1.26 eV/atom
! Space group ... I-42d (122)
! V ... 33.2 Å³/atom
&SYSTEM
  ibrav = 0, nat = 8, ntyp = 3
/
ATOMIC_SPECIES
Hg 200.59 Hg.upf
Te 127.60 Te.upf
Os 190.23 Os.upf
ATOMIC_POSITIONS angstrom
Hg 4.791 1.376 -1.628
Hg 1.376 1.597 1.628
Hg -1.597 1.818 4.883
Hg 1.818 1.597 8.138
Te 3.194 0.000 3.255
Te 0.000 0.000 6.511
Os 0.000 0.000 0.000
Os 0.000 3.194 3.255
CELL_PARAMETERS angstrom
-3.194 3.194 6.511
3.194 -3.194 6.511
3.194 3.194 -6.511

Record 11
! HgTe2Os GGA-PBE optimized geometry; values from VASP
! ρ ... 9.6 Mg/m³
! Uncorrected formation energy ... 0.21 eV/atom
! Space group ... Cmmm (65)
! V ... 27.9 Å³/atom
&SYSTEM
  ibrav = 0, nat = 4, ntyp = 3
/
ATOMIC_SPECIES
Hg 200.59 Hg.upf
Te 127.60 Te.upf
Os 190.23 Os.upf
ATOMIC_POSITIONS angstrom
Hg 0.000 0.000 0.000
Te 2.692 1.709 1.998
Te 2.692 -1.709 1.998
Os 2.692 0.000 0.000
CELL_PARAMETERS angstrom
2.692 -5.194 0.000
2.692 5.194 0.000
0.000 0.000 3.996

Record 12
! HgTeOs3 GGA-PBE optimized geometry; values from VASP
! Energy relative to the lowest polymorph listed for this composition ... 0.000 eV per atom
! ρ ... 13.3 Mg/m³
! Uncorrected formation energy ... 2.37 eV/atom
! Space group ... Pm-3m (221)
! V ... 22.5 Å³/atom
&SYSTEM
  ibrav = 0, nat = 5, ntyp = 3
/
ATOMIC_SPECIES
Hg 200.59 Hg.upf
Te 127.60 Te.upf
Os 190.23 Os.upf
ATOMIC_POSITIONS angstrom
Hg 0.000 0.000 0.000
Te 2.413 2.413 2.413
Os 0.000 2.413 2.413
Os 2.413 0.000 2.413
Os 2.413 2.413 0.000
CELL_PARAMETERS angstrom
4.826 0.000 0.000
0.000 4.826 0.000
0.000 0.000 4.826

- The lowest V belongs to which entry?
  HgTeOs2

- Which value of uncorrected formation energy does entry 10 give?
  1.26 eV/atom

- Which of these has the lowest V?
  HgTeOs2